No. 1
First-principles (PBE-GGA) data for crystalline TePt7 at its relaxed geometry, as listed in OQMD via LeMat-Bulk.

## Properties
As for the spin magnetization: 0.002 μB/cell. As for the symmetry: Pmmn (59). The calculation puts the energy above the lowest structure with this stoichiometry at 0.000 kcal/mol of atoms.

Cell lengths 2.9271, 3.8775, 32.7378 Å; angles 90.00, 90.00, 90.00 degrees
With the nearest neighbours (Å) after each atom.
Atoms (fractional coordinates):
Pt 0.5000 0.5000 0.2203  4 Te 2.75, 7 Pt 2.87-2.94
Pt 0.0000 0.0000 0.2669  11 Pt 2.78-2.93, 1 Te 2.82
Pt 0.5000 0.5000 0.3102  12 Pt 2.77-2.94
Pt 0.0000 0.0000 0.3519  12 Pt 2.78-2.93
Pt 0.5000 0.5000 0.3949  12 Pt 2.75-2.93
Pt 0.0000 0.0000 0.4369  12 Pt 2.76-2.93
Pt 0.5000 0.5000 0.4789  12 Pt 2.75-2.93
Pt 0.0000 0.0000 0.5211  12 Pt 2.75-2.93
Pt 0.5000 0.5000 0.5631  12 Pt 2.76-2.93
Pt 0.0000 0.0000 0.6052  12 Pt 2.75-2.93
Pt 0.5000 0.5000 0.6480  12 Pt 2.78-2.93
Pt 0.0000 0.0000 0.6898  12 Pt 2.77-2.94
Pt 0.5000 0.5000 0.7330  11 Pt 2.78-2.93, 1 Te 2.82
Pt 0.0000 0.0000 0.7797  4 Te 2.75, 7 Pt 2.87-2.94
Te 0.0000 0.0000 0.1808  5 Pt 2.75-2.82, 2 Te 2.93
Te 0.5000 0.5000 0.8192  5 Pt 2.75-2.82, 2 Te 2.93

---

No. 2
First-principles (PBE-GGA) data for crystalline LiNiHgB at its relaxed geometry, as listed in OQMD via LeMat-Bulk.

## Properties
As for the spin magnetization: 0.000 μB/cell. As for the symmetry: F-43m (216). The calculation puts the energy above the lowest structure with this stoichiometry at 0.000 kcal/mol of atoms.

Cell lengths 4.0506, 4.0506, 4.0506 Å; angles 60.00, 60.00, 60.00 degrees
With the nearest neighbours (Å) after each atom.
Atoms (fractional coordinates):
B 0.0000 0.0000 0.0000  4 Hg 2.48, 4 Ni 2.48
Hg 0.2500 0.2500 0.2500  4 B 2.48, 4 Li 2.48
Li 0.5000 0.5000 0.5000  4 Ni 2.48, 4 Hg 2.48
Ni 0.7500 0.7500 0.7500  4 Li 2.48, 4 B 2.48

---

No. 3
First-principles (PBE-GGA) data for crystalline AlHPd3 at its relaxed geometry, as listed in OQMD via LeMat-Bulk.

## Properties
As for the symmetry: P4/mbm (127). The calculation puts the energy above the lowest structure with this stoichiometry at 0.000 kcal/mol of atoms.

Cell lengths 5.5501, 5.5501, 4.0188 Å; angles 90.00, 90.00, 90.00 degrees
With the nearest neighbours (Å) after each atom.
Atoms (fractional coordinates):
Al 0.5000 0.0000 0.5000  8 Pd 2.58-2.78
Al 0.0000 0.5000 0.5000  8 Pd 2.58-2.78
H 0.0000 0.0000 0.0000  6 Pd 1.99-2.01
H 0.5000 0.5000 0.0000  6 Pd 1.99-2.01
Pd 0.7062 0.2062 0.0000  2 H 1.99
Pd 0.2062 0.2938 0.0000  2 H 1.99
Pd 0.7938 0.7062 0.0000  2 H 1.99
Pd 0.2938 0.7938 0.0000  2 H 1.99
Pd 0.0000 0.0000 0.5000  2 H 2.01
Pd 0.5000 0.5000 0.5000  2 H 2.01

---

No. 4
First-principles (PBE-GGA) data for crystalline Gd2TmIn3PdPt2 at its relaxed geometry, as listed in OQMD via LeMat-Bulk.

## Properties
As for the spin magnetization: 0.018 μB/cell. As for the symmetry: Amm2 (38). As for the final energy: -5.319 eV/atom.

Cell lengths 3.8417, 7.7065, 7.7065 Å; angles 119.69, 90.00, 90.00 degrees
With the nearest neighbours (Å) after each atom.
Atoms (fractional coordinates):
Gd 0.0000 0.9997 0.4102  4 Pt 3.03-3.04, 1 Pd 3.17, 6 In 3.20-3.39
Gd 0.0000 0.4102 0.9997  4 Pt 3.03-3.04, 1 Pd 3.17, 6 In 3.20-3.39
In 0.5000 0.2593 0.2593  2 Pd 2.79, 2 Pt 2.88
In 0.5000 0.9986 0.7413  2 Pd 2.76, 2 Pt 2.89-2.94
In 0.5000 0.7413 0.9986  2 Pd 2.76, 2 Pt 2.89-2.94
Pd 0.0000 0.9983 0.9983  6 In 2.76-2.79
Pt 0.5000 0.6656 0.3373  3 In 2.88-2.94, 2 Tm 2.99, 4 Gd 3.03-3.04
Pt 0.5000 0.3373 0.6656  3 In 2.88-2.94, 2 Tm 2.99, 4 Gd 3.03-3.04
Tm 0.0000 0.5897 0.5897  4 Pt 2.99, 1 Pd 3.16, 2 In 3.20

---

Result set for V: 23.22 11.75 12.38 22.02 Å³/atom, one per record in the order listed.